1.
Entry from the Alexandria database: a relaxed structure of La2DyZr (PBE).

Lattice parameters (Å, degrees): 5.041 5.041 4.891 90.00 90.00 90.00
Element x y z (fractional)
1 La 0.000 0.500 0.000
2 La 0.500 0.000 0.000
3 Dy 0.000 0.000 0.500
4 Zr 0.500 0.500 0.500

Symmetry: P4/mmm
Relative energy among the computed polymorphs: 0 meV per atom
Total magnetic moment: 0.000 μB per atom

***

2.
Entry from the Alexandria database: a relaxed structure of La2DyZr (PBE).

Lattice parameters (Å, degrees): 4.099 4.099 7.441 90.00 90.00 90.00
Element x y z (fractional)
1 La 0.000 0.000 0.227
2 La 0.000 0.000 0.773
3 Dy 0.500 0.500 0.500
4 Zr 0.500 0.500 0.000

Symmetry: P4/mmm
Relative energy among the computed polymorphs: 30 meV per atom
Total magnetic moment: 0.000 μB per atom

***

3.
Entry from the Alexandria database: a relaxed structure of LaDyZr2 (PBE).

Lattice parameters (Å, degrees): 11.199 11.199 11.199 17.39 17.39 17.39
Element x y z (fractional)
1 La 0.000 0.000 0.000
2 Dy 0.500 0.500 0.500
3 Zr 0.249 0.249 0.249
4 Zr 0.751 0.751 0.751

Symmetry: R-3m
Relative energy among the computed polymorphs: 5 meV per atom
Total magnetic moment: 0.000 μB per atom